Below is a geometry-optimized Sr3HoU3As8 structure, with properties calculated at the PBE level.

Unit cell a=8.3559 b=8.3559 c=21.4628 alpha=90.00 beta=90.00 gamma=120.00
Space group R-3m (No. 166, hexagonal axes)
Unique sites:
Sr (0.0000, 0.5000, 0.0000) [9 per cell]
Ho (0.0000, 0.0000, 0.5000) [3 per cell]
U (0.0000, 0.5000, 0.5000) [9 per cell]
As (0.0000, 0.0000, 0.2390) [6 per cell]
As (0.0133, 0.5066, 0.7626) [18 per cell]

Output
Final energy: -6.25 eV per atom
Total magnetic moment: 2.99 μB/f.u.
Formation enthalpy at 0 K: -0.873 eV/atom
Density of states at the Fermi level: 55.521 states/eV per cell



Below is a geometry-optimized Ni7Pt3 structure, with properties calculated at the PBE level.

Unit cell a=2.647 b=3.558 c=13.304 alpha=90.00 beta=90.00 gamma=90.00
Space group Pmm2 (No. 25)
Unique sites:
Ni (0.000, 0.000, 0.000) [1 per cell]
Ni (0.000, 0.000, 0.182) [1 per cell]
Ni (0.000, 0.000, 0.608) [1 per cell]
Ni (0.000, 0.000, 0.817) [1 per cell]
Ni (0.500, 0.500, 0.091) [1 per cell]
Ni (0.500, 0.500, 0.275) [1 per cell]
Ni (0.500, 0.500, 0.908) [1 per cell]
Pt (0.000, 0.000, 0.377) [1 per cell]
Pt (0.500, 0.500, 0.503) [1 per cell]
Pt (0.500, 0.500, 0.714) [1 per cell]

Output
Final energy: -5.88 eV per atom
Offset from the most stable computed form: 55.6 meV/atom
Total magnetic moment: 5.70 μB/f.u.
Formation enthalpy at 0 K: -0.018 eV/atom
Density of states at the Fermi level: 17.017 states/eV per cell